1.
Below is a geometry-optimized TiCuSi3 structure, with properties calculated at the PBE level.

a = 4.7345 Å, b = 4.7345 Å, c = 4.7345 Å
α = 90.00°, β = 90.00°, γ = 90.00°
Closest atoms and distances in Å follow each position.
Atoms (fractional coordinates):
Ti1 0.0000 0.0000 0.0000  6 Si 2.37
Cu1 0.5000 0.5000 0.5000  12 Si 3.35
Si1 0.0000 0.0000 0.5000  2 Ti 2.37
Si2 0.0000 0.5000 0.0000  2 Ti 2.37
Si3 0.5000 0.0000 0.0000  2 Ti 2.37

Results
- Space-group type: Pm-3m (221)
- Raw total energy: -4.792 eV/atom
- DOS at the Fermi energy: 3.28 states/eV/f.u.
- Energy above the lowest structure with this stoichiometry: 0.44 eV/f.u.
- E_form (uncorrected): 860 meV per atom


2.
Below is a geometry-optimized Ti2CuSi4 structure, with properties calculated at the PBE level.

a = 3.5721 Å, b = 3.5721 Å, c = 8.2682 Å
α = 90.00°, β = 90.00°, γ = 90.00°
Closest atoms and distances in Å follow each position.
Atoms (fractional coordinates):
Ti1 0.0000 0.5000 0.2412  8 Si 2.61-2.68, 2 Cu 2.79
Ti2 0.5000 0.0000 0.7588  8 Si 2.61-2.68, 2 Cu 2.79
Cu1 0.0000 0.0000 0.5000  4 Si 2.33
Si1 0.0000 0.0000 0.0000  4 Si 2.53, 4 Ti 2.68
Si2 0.0000 0.5000 0.6809  2 Cu 2.33, 4 Ti 2.61
Si3 0.5000 0.0000 0.3191  2 Cu 2.33, 4 Ti 2.61
Si4 0.5000 0.5000 0.0000  4 Si 2.53, 4 Ti 2.68

Results
- Space-group type: P-4m2 (115)
- Raw total energy: -6.251 eV/atom
- DOS at the Fermi energy: 4.26 states/eV/f.u.
- Energy above the lowest structure with this stoichiometry: 0.00 eV/f.u.
- E_form (uncorrected): -312 meV per atom


3.
Below is a geometry-optimized TiCu2Si2 structure, with properties calculated at the PBE level.

a = 7.0312 Å, b = 7.0312 Å, c = 2.7525 Å
α = 90.00°, β = 90.00°, γ = 90.00°
Closest atoms and distances in Å follow each position.
Atoms (fractional coordinates):
Ti1 0.0000 0.0000 0.0000  4 Si 2.65, 2 Ti 2.75
Ti2 0.5000 0.5000 0.0000  4 Si 2.65, 2 Ti 2.75
Cu1 0.1389 0.3611 0.5000  6 Si 2.46-2.49
Cu2 0.3611 0.8611 0.5000  6 Si 2.46-2.49
Cu3 0.6389 0.1389 0.5000  6 Si 2.46-2.49
Cu4 0.8611 0.6389 0.5000  6 Si 2.46-2.49
Si1 0.1565 0.6565 0.0000  6 Cu 2.46-2.49, 2 Ti 2.65
Si2 0.3435 0.1565 0.0000  6 Cu 2.46-2.49, 2 Ti 2.65
Si3 0.6565 0.8435 0.0000  6 Cu 2.46-2.49, 2 Ti 2.65
Si4 0.8435 0.3435 0.0000  6 Cu 2.46-2.49, 2 Ti 2.65

Results
- Space-group type: P4/mbm (127)
- Raw total energy: -5.500 eV/atom
- DOS at the Fermi energy: 1.78 states/eV/f.u.
- E_form (uncorrected): -114 meV per atom